(1)
A geometry-optimized LaTl2Si structure, computed with PBEsol.

Results
* energy above the lowest structure with this stoichiometry: 223 meV/atom
* space group: No. 225

Unit cell a=5.245 b=5.245 c=5.245 alpha=60.00 beta=60.00 gamma=60.00
Atoms (fractional coordinates):
La  0.000  0.000  0.000
Si  0.500  0.500  0.500
Tl  0.250  0.250  0.250
Tl  0.750  0.750  0.750

=====

(2)
A geometry-optimized LaTl2Si structure, computed with PBEsol.

Results
* energy above the lowest structure with this stoichiometry: 23 meV/atom
* space group: No. 38

Unit cell a=4.099 b=4.500 c=6.202 alpha=111.27 beta=90.00 gamma=90.00
Atoms (fractional coordinates):
La  0.000  0.891  0.781
Si  0.500  0.349  0.699
Tl  0.000  0.173  0.346
Tl  0.500  0.594  0.188

=====

(3)
A geometry-optimized LaSiW structure, computed with PBEsol.

Results
* space group: No. 216

Unit cell a=4.465 b=4.465 c=4.465 alpha=60.00 beta=60.00 gamma=60.00
Atoms (fractional coordinates):
La  0.000  0.000  0.000
Si  0.500  0.500  0.500
W  0.250  0.250  0.250

=====

(4)
A geometry-optimized LaSiW structure, computed with PBEsol.

Results
* space group: No. 156

Unit cell a=3.602 b=3.602 c=5.757 alpha=90.00 beta=90.00 gamma=120.00
Atoms (fractional coordinates):
La  0.000  0.000  0.992
Si  0.333  0.667  0.614
W  0.667  0.333  0.394

=====

(5)
A geometry-optimized LaSiW2 structure, computed with PBEsol.

Results
* space group: No. 71

Unit cell a=2.705 b=5.209 c=6.007 alpha=115.70 beta=103.01 gamma=90.00
Atoms (fractional coordinates):
La  0.500  0.000  0.000
Si  0.000  0.500  0.000
W  0.711  0.711  0.422
W  0.289  0.289  0.578

=====

(6)
A geometry-optimized LaSi2W structure, computed with PBEsol.

Results
* space group: No. 123

Unit cell a=4.219 b=4.164 c=4.170 alpha=90.00 beta=90.00 gamma=90.00
Atoms (fractional coordinates):
La  0.500  0.000  0.500
Si  0.000  0.000  0.000
Si  0.000  0.500  0.500
W  0.500  0.500  0.000

=====

(7)
A geometry-optimized LaSiW2 structure, computed with PBEsol.

Results
* space group: No. 99

Unit cell a=3.216 b=3.216 c=7.273 alpha=90.00 beta=90.00 gamma=90.00
Atoms (fractional coordinates):
La  0.000  0.000  0.504
Si  0.500  0.500  0.810
W  0.000  0.000  0.999
W  0.500  0.500  0.187

=====

(8)
A geometry-optimized LaSiW4 structure, computed with PBEsol.

Results
* space group: No. 216

Unit cell a=5.398 b=5.398 c=5.398 alpha=60.00 beta=60.00 gamma=60.00
Atoms (fractional coordinates):
La  0.750  0.750  0.750
Si  0.000  0.000  0.000
W  0.375  0.375  0.375
W  0.375  0.375  0.875
W  0.875  0.375  0.375
W  0.375  0.875  0.375

=====

Number 1: DFT total energy -4.112 eV per atom. Number 2: DFT total energy -4.312 eV per atom. Number 3: DFT total energy -7.708 eV per atom. Number 4: DFT total energy -7.966 eV per atom. Number 5: DFT total energy -9.247 eV per atom. Number 6: DFT total energy -7.319 eV per atom. Number 7: DFT total energy -9.635 eV per atom. Number 8: DFT total energy -10.402 eV per atom.